NaPuZnPb: optimized geometry, PBE-GGA.

a = 5.2508 Å, b = 5.2508 Å, c = 5.2508 Å
α = 60.00°, β = 60.00°, γ = 60.00°
Atoms (fractional coordinates):
Zn 0.0000 0.0000 0.0000
Na 0.7500 0.7500 0.7500
Pb 0.5000 0.5000 0.5000
Pu 0.2500 0.2500 0.2500

Properties
V = 102.37 Å³/cell

RbNa3Pb: optimized geometry, PBE-GGA.

a = 6.0973 Å, b = 6.0973 Å, c = 6.0973 Å
α = 90.00°, β = 90.00°, γ = 90.00°
Atoms (fractional coordinates):
Pb 0.5000 0.5000 0.5000
Na 0.0000 0.5000 0.0000
Na 0.5000 0.0000 0.0000
Na 0.0000 0.0000 0.5000
Rb 0.0000 0.0000 0.0000

Properties
V = 226.68 Å³/cell

RbNa7Pb2: optimized geometry, PBE-GGA.

a = 6.0224 Å, b = 8.7138 Å, c = 8.7138 Å
α = 98.98°, β = 90.00°, γ = 90.00°
Atoms (fractional coordinates):
Na 0.5000 0.8939 0.6239
Na 0.0000 0.3168 0.6832
Na 0.0000 0.6832 0.3168
Na 0.5000 0.1061 0.3761
Na 0.5000 0.3761 0.1061
Na 0.5000 0.6239 0.8939
Na 0.5000 0.5000 0.5000
Rb 0.0000 0.0000 0.0000
Pb 0.5000 0.7457 0.2543
Pb 0.5000 0.2543 0.7457

Properties
V = 451.68 Å³/cell

RbNa2Pb4: optimized geometry, PBE-GGA.

a = 5.2746 Å, b = 9.7289 Å, c = 9.7289 Å
α = 90.00°, β = 90.00°, γ = 90.00°
Atoms (fractional coordinates):
Rb 0.0000 0.5000 0.5000
Rb 0.5000 0.0000 0.0000
Pb 0.0000 0.9080 0.6362
Pb 0.5000 0.1362 0.5920
Pb 0.5000 0.5920 0.1362
Pb 0.0000 0.6362 0.9080
Pb 0.5000 0.4080 0.8638
Pb 0.0000 0.0920 0.3638
Pb 0.0000 0.3638 0.0920
Pb 0.5000 0.8638 0.4080
Na 0.0000 0.7843 0.2157
Na 0.0000 0.2157 0.7843
Na 0.5000 0.7157 0.7157
Na 0.5000 0.2843 0.2843

Properties
V = 499.25 Å³/cell

Rb2NaPb: optimized geometry, PBE-GGA.

a = 4.0251 Å, b = 4.0251 Å, c = 14.6835 Å
α = 82.12°, β = 82.12°, γ = 60.00°
Atoms (fractional coordinates):
Pb 0.0000 0.0000 0.0000
Rb 0.0838 0.0838 0.7486
Rb 0.9162 0.9162 0.2514
Na 0.5000 0.5000 0.5000

Properties
V = 203.42 Å³/cell

RbNa6Pb: optimized geometry, PBE-GGA.

a = 8.6583 Å, b = 8.6583 Å, c = 7.2865 Å
α = 53.55°, β = 53.55°, γ = 60.00°
Atoms (fractional coordinates):
Na 0.8683 0.8683 0.7986
Na 0.8683 0.4647 0.7986
Na 0.4647 0.8683 0.7986
Na 0.1317 0.5353 0.2014
Na 0.1317 0.1317 0.2014
Na 0.5353 0.1317 0.2014
Rb 0.5000 0.5000 0.5000
Pb 0.0000 0.0000 0.0000

Properties
V = 344.17 Å³/cell

RbNa3Pb: optimized geometry, PBE-GGA.

a = 6.1259 Å, b = 6.1259 Å, c = 6.1259 Å
α = 90.00°, β = 90.00°, γ = 90.00°
Atoms (fractional coordinates):
Rb 0.5000 0.5000 0.5000
Pb 0.0000 0.0000 0.0000
Na 0.0000 0.0000 0.5000
Na 0.5000 0.0000 0.0000
Na 0.0000 0.5000 0.0000

Properties
V = 229.88 Å³/cell

Rb5Na4Pb2: optimized geometry, PBE-GGA.

a = 6.8280 Å, b = 11.7144 Å, c = 10.0813 Å
α = 125.52°, β = 109.79°, γ = 90.00°
Atoms (fractional coordinates):
Na 0.3844 0.3844 0.7688
Na 0.0000 0.1610 0.0000
Na 0.0000 0.8390 0.0000
Na 0.6156 0.6156 0.2312
Pb 0.8244 0.8244 0.6489
Pb 0.1756 0.1756 0.3511
Rb 0.7531 0.4221 0.5062
Rb 0.2469 0.5779 0.4938
Rb 0.7531 0.0841 0.5062
Rb 0.5000 0.0000 0.0000
Rb 0.2469 0.9159 0.4938

Properties
V = 596.80 Å³/cell

Rb2NaPb2: optimized geometry, PBE-GGA.

a = 11.0056 Å, b = 11.0056 Å, c = 3.6915 Å
α = 90.00°, β = 90.00°, γ = 90.00°
Atoms (fractional coordinates):
Rb 0.3040 0.8040 0.0000
Rb 0.1960 0.3040 0.0000
Rb 0.6960 0.1960 0.0000
Rb 0.8040 0.6960 0.0000
Na 0.0000 0.0000 0.0000
Na 0.5000 0.5000 0.0000
Pb 0.9022 0.4022 0.5000
Pb 0.4022 0.0978 0.5000
Pb 0.5978 0.9022 0.5000
Pb 0.0978 0.5978 0.5000

Properties
V = 447.13 Å³/cell

RbNa4Pb: optimized geometry, PBE-GGA.

a = 9.5818 Å, b = 6.3217 Å, c = 9.3099 Å
α = 80.49°, β = 120.98°, γ = 90.03°
Atoms (fractional coordinates):
Na 0.5595 0.7842 0.2327
Na 0.8944 0.9308 0.5998
Na 0.4405 0.2158 0.7673
Na 0.2942 0.5694 0.4002
Na 0.6730 0.2843 0.2325
Na 0.1056 0.0692 0.4002
Na 0.7058 0.4306 0.5998
Na 0.3270 0.7157 0.7675
Pb 0.5000 0.0000 0.5000
Pb 0.0000 0.5000 0.5000
Rb 0.1842 0.2499 0.0002
Rb 0.8158 0.7501 0.9998

Properties
V = 474.43 Å³/cell

RbNa7Pb3: optimized geometry, PBE-GGA.

a = 6.0228 Å, b = 8.5465 Å, c = 8.5465 Å
α = 87.36°, β = 110.25°, γ = 110.25°
Atoms (fractional coordinates):
Na 0.3016 0.6069 0.9982
Na 0.8526 0.8500 0.8500
Na 0.6984 0.0018 0.3931
Na 0.0000 0.5000 0.5000
Na 0.1474 0.1500 0.1500
Na 0.6984 0.3931 0.0018
Na 0.3016 0.9982 0.6069
Pb 0.0000 0.7657 0.2343
Pb 0.5000 0.0000 0.0000
Pb 0.0000 0.2343 0.7657
Rb 0.5000 0.5000 0.5000

Properties
V = 385.87 Å³/cell

RbNa4Pb: optimized geometry, PBE-GGA.

a = 6.7436 Å, b = 6.7436 Å, c = 6.7436 Å
α = 60.00°, β = 60.00°, γ = 60.00°
Atoms (fractional coordinates):
Pb 0.0000 0.0000 0.0000
Rb 0.2500 0.2500 0.2500
Na 0.6273 0.6273 0.6273
Na 0.1180 0.6273 0.6273
Na 0.6273 0.1180 0.6273
Na 0.6273 0.6273 0.1180

Properties
V = 216.85 Å³/cell

Rb2Na6Pb: optimized geometry, PBE-GGA.

a = 3.8230 Å, b = 11.0935 Å, c = 11.0935 Å
α = 120.00°, β = 90.00°, γ = 90.00°
Atoms (fractional coordinates):
Na 0.2621 0.0000 0.2830
Na 0.2621 0.2830 0.0000
Na 0.7379 0.7170 0.0000
Na 0.2621 0.7170 0.7170
Na 0.7379 0.2830 0.2830
Na 0.7379 0.0000 0.7170
Rb 0.5000 0.3333 0.6667
Rb 0.5000 0.6667 0.3333
Pb 0.0000 0.0000 0.0000

Properties
V = 407.45 Å³/cell

RbNaPb3: optimized geometry, PBE-GGA.

a = 6.4785 Å, b = 7.3334 Å, c = 8.5514 Å
α = 115.39°, β = 90.00°, γ = 90.00°
Atoms (fractional coordinates):
Pb 0.7500 0.0428 0.6610
Pb 0.2500 0.9572 0.3390
Pb 0.2500 0.3818 0.3390
Pb 0.2500 0.8186 0.6372
Pb 0.7500 0.1814 0.3628
Pb 0.7500 0.6182 0.6610
Rb 0.2500 0.4025 0.8051
Rb 0.7500 0.5975 0.1949
Na 0.5000 0.0000 0.0000
Na 0.0000 0.0000 0.0000

Properties
V = 367.03 Å³/cell

Rb2NaPb7: optimized geometry, PBE-GGA.

a = 5.2136 Å, b = 5.2136 Å, c = 14.0313 Å
α = 90.00°, β = 90.00°, γ = 90.00°
Atoms (fractional coordinates):
Rb 0.5000 0.0000 0.7489
Rb 0.0000 0.5000 0.2511
Pb 0.0000 0.0000 0.5000
Pb 0.5000 0.0000 0.3622
Pb 0.0000 0.0000 0.0000
Pb 0.5000 0.5000 0.5000
Pb 0.5000 0.0000 0.1340
Pb 0.0000 0.5000 0.6378
Pb 0.0000 0.5000 0.8660
Na 0.5000 0.5000 0.0000

Properties
V = 381.40 Å³/cell

Rb12Na6Pb: optimized geometry, PBE-GGA.

a = 10.8167 Å, b = 10.8167 Å, c = 10.8167 Å
α = 86.74°, β = 86.74°, γ = 86.74°
Atoms (fractional coordinates):
Rb 0.5454 0.4313 0.8060
Rb 0.3595 0.0179 0.1469
Rb 0.0179 0.1469 0.3595
Rb 0.8060 0.5454 0.4313
Rb 0.4313 0.8060 0.5454
Rb 0.9821 0.8531 0.6405
Rb 0.5687 0.1940 0.4546
Rb 0.6405 0.9821 0.8531
Rb 0.4546 0.5687 0.1940
Rb 0.1469 0.3595 0.0179
Rb 0.8531 0.6405 0.9821
Rb 0.1940 0.4546 0.5687
Na 0.2315 0.0834 0.7758
Na 0.9166 0.2242 0.7685
Na 0.2242 0.7685 0.9166
Na 0.0834 0.7758 0.2315
Na 0.7685 0.9166 0.2242
Na 0.7758 0.2315 0.0834
Pb 0.0000 0.0000 0.0000

Properties
V = 1259.62 Å³/cell

RbNa2Pb: optimized geometry, PBE-GGA.

a = 5.5367 Å, b = 5.5367 Å, c = 12.0837 Å
α = 76.76°, β = 76.76°, γ = 90.00°
Atoms (fractional coordinates):
Pb 0.7500 0.2500 0.5000
Pb 0.0000 0.0000 0.0000
Rb 0.5000 0.5000 0.0000
Rb 0.2500 0.7500 0.5000
Na 0.8750 0.9724 0.7500
Na 0.0276 0.6250 0.2500
Na 0.7224 0.1250 0.2500
Na 0.3750 0.2776 0.7500

Properties
V = 350.45 Å³/cell

Rb2NaPb6: optimized geometry, PBE-GGA.

a = 6.9369 Å, b = 7.4960 Å, c = 7.7858 Å
α = 74.30°, β = 90.00°, γ = 117.56°
Atoms (fractional coordinates):
Pb 0.6020 0.7146 0.3455
Pb 0.1074 0.2149 0.3417
Pb 0.8874 0.2854 0.6545
Pb 0.1126 0.7146 0.3455
Pb 0.8926 0.7851 0.6583
Pb 0.3980 0.2854 0.6545
Rb 0.3584 0.7168 0.8535
Rb 0.6416 0.2832 0.1465
Na 0.0000 0.0000 0.0000

Properties
V = 341.78 Å³/cell

Rb3Na8Pb: optimized geometry, PBE-GGA.

a = 7.2025 Å, b = 7.2025 Å, c = 12.4219 Å
α = 73.15°, β = 73.15°, γ = 60.00°
Atoms (fractional coordinates):
Na 0.3123 0.3123 0.0632
Na 0.5677 0.5677 0.7950
Na 0.0600 0.0600 0.3389
Na 0.8107 0.8107 0.5680
Na 0.5411 0.0600 0.3389
Na 0.0697 0.5677 0.7950
Na 0.0600 0.5411 0.3389
Na 0.5677 0.0697 0.7950
Pb 0.1295 0.1295 0.6114
Rb 0.0116 0.0116 0.9652
Rb 0.4952 0.4952 0.5145
Rb 0.6247 0.6247 0.1260

Properties
V = 525.86 Å³/cell

RbNa2Pb: optimized geometry, PBE-GGA.

a = 4.3732 Å, b = 5.7907 Å, c = 5.7907 Å
α = 90.00°, β = 90.00°, γ = 90.00°
Atoms (fractional coordinates):
Na 0.0000 0.5000 0.0000
Na 0.0000 0.0000 0.5000
Pb 0.5000 0.5000 0.5000
Rb 0.5000 0.0000 0.0000

Properties
V = 146.64 Å³/cell

RbNa2Pb: optimized geometry, PBE-GGA.

a = 6.4173 Å, b = 11.5292 Å, c = 9.5324 Å
α = 122.60°, β = 90.00°, γ = 90.00°
Atoms (fractional coordinates):
Na 0.2569 0.4520 0.9198
Na 0.7431 0.5480 0.0802
Na 0.7569 0.0480 0.0802
Na 0.9242 0.7066 0.8882
Na 0.5758 0.2066 0.8882
Na 0.0758 0.2934 0.1118
Na 0.4242 0.7934 0.1118
Na 0.2431 0.9520 0.9198
Pb 0.5450 0.4043 0.2889
Pb 0.4550 0.5957 0.7111
Pb 0.9550 0.9043 0.2889
Pb 0.0450 0.0957 0.7111
Rb 0.5577 0.8411 0.5393
Rb 0.9423 0.3411 0.5393
Rb 0.4423 0.1589 0.4607
Rb 0.0577 0.6589 0.4607

Properties
V = 594.15 Å³/cell

Rb2Na5Pb: optimized geometry, PBE-GGA.

a = 7.6345 Å, b = 9.0873 Å, c = 7.3433 Å
α = 129.60°, β = 108.63°, γ = 88.23°
Atoms (fractional coordinates):
Na 0.5343 0.3024 0.7696
Na 0.0922 0.1987 0.7565
Na 0.8037 0.8479 0.6728
Na 0.4021 0.7766 0.2184
Na 0.8851 0.7296 0.0932
Pb 0.1582 0.0769 0.2230
Rb 0.6680 0.2275 0.2615
Rb 0.2334 0.6173 0.5588

Properties
V = 361.41 Å³/cell

Rb2NaPb: optimized geometry, PBE-GGA.

a = 4.8815 Å, b = 4.8815 Å, c = 8.0680 Å
α = 90.00°, β = 90.00°, γ = 90.00°
Atoms (fractional coordinates):
Rb 0.0000 0.0000 0.7706
Rb 0.0000 0.0000 0.2294
Pb 0.5000 0.5000 0.0000
Na 0.5000 0.5000 0.5000

Properties
V = 192.25 Å³/cell

no.,E (eV/atom),D(E_F) (states/eV/cell)
1,-5.17,12.49
2,-1.15,4.57
3,-1.77,4.17
4,-2.74,6.68
5,-1.50,2.97
6,-1.53,3.07
7,-1.79,0.86
8,-1.61,6.13
9,-2.10,5.48
10,-1.71,6.75
11,-1.97,5.45
12,-1.65,3.13
13,-1.47,4.94
14,-2.77,3.39
15,-3.01,7.01
16,-1.20,13.66
17,-1.75,5.79
18,-2.95,1.79
19,-1.41,5.80
20,-1.83,2.04
21,-1.89,4.30
22,-1.55,3.66
23,-1.69,1.33